Density functional theory data (PBE) for a relaxed BaTa2Be crystal.

Results
Energy of formation = 799.5 meV/atom
V = 89 Å³/f.u.

a = 10.5398 Å, b = 3.0516 Å, c = 5.7265 Å
α = 90.00°, β = 104.00°, γ = 90.00°
Closest atoms and distances in Å follow each position.
Space group C2/m (No. 12)
Inequivalent atoms, fractional coordinates:
1 Ba 0.0000 0.0000 0.0000 [2 per cell]  2 Ba 3.05, 2 Ta 3.23, 4 Be 3.24
2 Ta 0.1992 0.0000 0.6499 [4 per cell]  2 Be 2.57, 2 Ta 2.70
3 Be 0.0000 0.5000 0.5000 [2 per cell]  4 Ta 2.57

Density functional theory data (PBE) for a relaxed Pr4NdSm2Tm crystal.

Results
Energy of formation = 13.5 meV/atom
V = 277 Å³/f.u.

a = 5.1762 Å, b = 5.2036 Å, c = 10.2930 Å
α = 90.00°, β = 90.00°, γ = 90.00°
Closest atoms and distances in Å follow each position.
Space group Pmmm (No. 47)
Inequivalent atoms, fractional coordinates:
1 Pr 0.0000 0.0000 0.2468 [2 per cell]  2 Tm 3.63, 4 Sm 3.64-3.67, 4 Pr 3.67, 2 Nd 3.68
2 Pr 0.5000 0.5000 0.2471 [2 per cell]  4 Sm 3.63-3.68, 2 Tm 3.64, 4 Pr 3.67, 2 Nd 3.67
3 Nd 0.0000 0.5000 0.5000 [1 per cell]  4 Sm 3.67, 8 Pr 3.67-3.68
4 Sm 0.0000 0.5000 0.0000 [1 per cell]  8 Pr 3.63-3.64, 4 Tm 3.67
5 Sm 0.5000 0.0000 0.5000 [1 per cell]  4 Nd 3.67, 8 Pr 3.67-3.68
6 Tm 0.5000 0.0000 0.0000 [1 per cell]  8 Pr 3.63-3.64, 4 Sm 3.67

Density functional theory data (PBE) for a relaxed TaTe2Se crystal.

Results
V = 107 Å³/f.u.
Formation energy (no corrections) = 0.0026 eV per atom

a = 14.1755 Å, b = 3.3611 Å, c = 4.5783 Å
α = 90.00°, β = 100.31°, γ = 90.00°
Closest atoms and distances in Å follow each position.
Space group C2/m (No. 12)
Inequivalent atoms, fractional coordinates:
1 Ta 0.0000 0.0000 0.0000 [2 per cell]  4 Se 2.84, 4 Te 2.85
2 Te 0.1624 0.5000 0.1723 [4 per cell]  2 Ta 2.85, 1 Se 2.96
3 Se 0.0000 0.5000 0.5000 [2 per cell]  4 Ta 2.84, 2 Te 2.96

Density functional theory data (PBE) for a relaxed HfPRu3 crystal.

Results
Polymorph energy (0 for the lowest one) = 0 meV/atom
Energy of formation = -228.7 meV/atom
V = 82 Å³/f.u.

a = 4.3380 Å, b = 4.3380 Å, c = 4.3380 Å
α = 90.00°, β = 90.00°, γ = 90.00°
Closest atoms and distances in Å follow each position.
Space group Pm-3m (No. 221)
Inequivalent atoms, fractional coordinates:
1 Hf 0.0000 0.0000 0.0000 [1 per cell]  12 Ru 3.07
2 P 0.5000 0.5000 0.5000 [1 per cell]  6 Ru 2.17
3 Ru 0.0000 0.5000 0.5000 [3 per cell]  2 P 2.17

Density functional theory data (PBE) for a relaxed Na3YF6 crystal.

Results
Polymorph energy (0 for the lowest one) = 0 meV/atom
V = 149 Å³/f.u.
Formation energy (no corrections) = -3.2779 eV per atom

a = 5.8520 Å, b = 5.9647 Å, c = 10.2172 Å
α = 90.00°, β = 123.45°, γ = 90.00°
Closest atoms and distances in Å follow each position.
Space group P2_1/c (No. 14)
Inequivalent atoms, fractional coordinates:
1 Na 0.0000 0.0000 0.0000 [2 per cell]  6 F 2.24-2.48
2 Na 0.2182 0.0481 0.7284 [4 per cell]  4 F 2.29-2.34
3 Y 0.5000 0.0000 0.5000 [2 per cell]  6 F 2.18-2.21
4 F 0.1341 0.1770 0.4505 [4 per cell]  1 Y 2.18, 2 Na 2.24-2.29
5 F 0.2320 0.7024 0.4070 [4 per cell]  1 Y 2.21, 2 Na 2.32-2.37
6 F 0.4012 0.0902 0.2655 [4 per cell]  1 Y 2.20, 2 Na 2.34

Density functional theory data (PBE) for a relaxed LaRh3 crystal.

Results
Energy of formation = -230.2 meV/atom
V = 70 Å³/f.u.

a = 5.8386 Å, b = 7.8533 Å, c = 3.0739 Å
α = 90.00°, β = 90.00°, γ = 90.00°
Closest atoms and distances in Å follow each position.
Space group Cmmm (No. 65)
Inequivalent atoms, fractional coordinates:
1 La 0.0000 0.0000 0.0000 [2 per cell]  10 Rh 2.89-2.92, 2 La 3.07
2 Rh 0.0000 0.5000 0.0000 [2 per cell]  10 Rh 2.89-3.07, 2 La 2.92
3 Rh 0.2500 0.2500 0.5000 [4 per cell]  4 La 2.89, 8 Rh 2.89-3.07